# PBE Cs2LiSb2Pb, relaxed
data_Cs2LiSb2Pb
_chemical_formula_sum 'Cs8 Li4 Sb8 Pb4'
_cell_length_a 7.321
_cell_length_b 17.681
_cell_length_c 7.404
_cell_angle_alpha 90.00
_cell_angle_beta 90.00
_cell_angle_gamma 90.00
_space_group_name_H-M_alt 'I b a m'
_space_group_IT_number 72
_space_group_name_Hall '-I 2 2c'
loop_
_atom_site_label
_atom_site_fract_x
_atom_site_fract_y
_atom_site_fract_z
Cs1 0.246 0.171 0.000
Li1 0.000 0.000 0.250
Sb1 0.241 0.092 0.500
Pb1 0.000 0.500 0.250
# E_form (uncorrected) = -421 meV per atom


# PBE SrSnPb2I, relaxed
data_SrSnPb2I
_chemical_formula_sum 'Sr1 Sn1 Pb2 I1'
_cell_length_a 6.015
_cell_length_b 6.015
_cell_length_c 5.942
_cell_angle_alpha 90.00
_cell_angle_beta 90.00
_cell_angle_gamma 90.00
_space_group_name_H-M_alt 'P 4/m m m'
_space_group_IT_number 123
_space_group_name_Hall '-P 4 2'
loop_
_atom_site_label
_atom_site_fract_x
_atom_site_fract_y
_atom_site_fract_z
Sr1 0.000 0.000 0.000
Sn1 0.500 0.500 0.000
Pb1 0.000 0.500 0.500
I1 0.500 0.500 0.500
# E_form (uncorrected) = 293 meV per atom


- Which of these has the highest E_form (uncorrected)?
  SrSnPb2I


- Which of these has the highest E_form (uncorrected)?
  SrSnPb2I


- What is the E_form (uncorrected) in the first record?
  -421 meV per atom